# Sn5Bi3Te12 (PBE-GGA, relaxed)
data_Sn5Bi3Te12
_chemical_formula_sum 'Sn40 Bi24 Te96'
_space_group_name_H-M_alt 'I a -3 d'
_space_group_IT_number 230
_space_group_name_Hall '-I 4bd 2c 3'
_cell_length_a 18.2112
_cell_length_b 18.2112
_cell_length_c 18.2112
_cell_angle_alpha 90.00
_cell_angle_beta 90.00
_cell_angle_gamma 90.00
loop_
_atom_site_label
_atom_site_type_symbol
_atom_site_fract_x
_atom_site_fract_y
_atom_site_fract_z
Sn1 Sn 0.0000 0.0000 0.0000
Sn2 Sn 0.0000 0.2500 0.3750
Bi1 Bi 0.0000 0.2500 0.1250
Te1 Te 0.0215 0.0682 0.6532
# - DFT total energy (eV for the cell shown) = -562.79
# - spin magnetization (μB per formula unit) = 0.0
# - crystal system = cubic